(1)
The following is a DFT calculation (PBE-GGA) of a relaxed RbTmZnSe3 crystal.

Structure (POSCAR):
```
RbTmZnSe3
1.0
-3.597 7.677 -3.937
-6.461 4.735 -4.818
-3.259 0.680 8.327
Se Tm Rb Zn
6 2 2 2
direct
0.660 0.660 0.274
0.674 0.674 0.861
0.326 0.326 0.139
0.000 0.000 0.000
0.500 0.500 0.500
0.340 0.340 0.726
0.168 0.168 0.066
0.832 0.832 0.934
0.854 0.854 0.434
0.146 0.146 0.566
0.476 0.476 0.768
0.524 0.524 0.232
```

Results
- E_tot (eV per cell) = -48.8


(2)
The following is a DFT calculation (PBE-GGA) of a relaxed GdDySnC crystal.

Structure (POSCAR):
```
GdDySnC
1.0
-3.230 1.674 -0.152
0.551 -3.067 -1.884
-5.047 -8.598 12.521
C Gd Dy Sn
2 2 2 2
direct
0.000 0.000 0.249
0.000 0.000 0.751
0.667 0.333 0.334
0.667 0.333 0.666
0.333 0.667 0.165
0.333 0.667 0.835
0.667 0.333 0.000
0.333 0.667 0.500
```

Results
- E_tot (eV per cell) = -49.0


(3)
The following is a DFT calculation (PBE-GGA) of a relaxed LiLaReTc crystal.

Structure (POSCAR):
```
LiLaReTc
1.0
0.000 3.286 3.286
3.286 0.000 3.286
3.286 3.286 0.000
Re Li La Tc
1 1 1 1
direct
0.250 0.250 0.250
0.750 0.750 0.750
0.500 0.500 0.500
0.000 0.000 0.000
```

Results
- offset from the most stable computed form (meV per atom) = 0